Entry 1:
Density functional theory data (PBEsol) for a geometry-optimized Er2Al3Si2 structure.

total magnetic moment	0.000	μB per atom
ΔE_f (raw)	-0.59	eV per atom
calculated volume	128	Å³ per cell

Cell: 3.996 5.378 6.503 Å, 99.81 90.00 111.81°
Element x y z (fractional)
Al (0.305, 0.610, 0.133)
Al (0.695, 0.390, 0.867)
Al (0.000, 0.000, 0.000)
Er (0.381, 0.762, 0.677)
Er (0.619, 0.238, 0.323)
Si (0.906, 0.812, 0.361)
Si (0.094, 0.188, 0.639)

Entry 2:
Density functional theory data (PBEsol) for a geometry-optimized HfAlCu3 structure.

total magnetic moment	0.000	μB per atom
ΔE_f	517	meV/atom
calculated volume	80	Å³ per cell

Cell: 4.304 4.304 4.304 Å, 90.00 90.00 90.00°
Element x y z (fractional)
Cu (0.000, 0.500, 0.000)
Cu (0.000, 0.000, 0.500)
Cu (0.500, 0.000, 0.000)
Hf (0.500, 0.500, 0.500)
Al (0.000, 0.000, 0.000)

Q: What is the total magnetic moment in the second record?
A: 0.000 μB per atom